Entry 1:
Here is a relaxed Y2MgZn3Au4 crystal from Alexandria. Energies are from PBE-GGA.

Geometry as CIF:
```
data_Y2MgZn3Au4
_space_group_name_H-M_alt 'P -4 m 2'
_space_group_IT_number 115
_cell_length_a 4.1183
_cell_length_b 4.1183
_cell_length_c 11.9429
_cell_angle_alpha 90.00
_cell_angle_beta 90.00
_cell_angle_gamma 90.00
loop_
_space_group_symop_operation_xyz
'x,y,z'
'y,-x,-z'
'-x,-y,z'
'-y,x,-z'
'-x,y,z'
'-y,-x,-z'
'x,-y,z'
'y,x,-z'
loop_
_atom_site_label
_atom_site_fract_x
_atom_site_fract_y
_atom_site_fract_z
Y1 0.0000 0.5000 0.2360
Mg1 0.0000 0.0000 0.5000
Zn1 0.0000 0.5000 0.8632
Zn2 0.5000 0.5000 0.5000
Au1 0.0000 0.0000 0.0000
Au2 0.0000 0.5000 0.6505
Au3 0.5000 0.5000 0.0000
```

Results
* E_tot: -36.7 eV/f.u.
* formation enthalpy at 0 K: -0.528 eV per atom
* calculated volume: 20.3 Å³ per atom


Entry 2:
Here is a relaxed TcBiPCl2 crystal from Alexandria. Energies are from PBE-GGA.

Geometry as CIF:
```
data_TcBiPCl2
_space_group_name_H-M_alt 'P 4/m m m'
_space_group_IT_number 123
_space_group_name_Hall '-P 4 2'
_cell_length_a 4.8172
_cell_length_b 4.8172
_cell_length_c 4.7780
_cell_angle_alpha 90.00
_cell_angle_beta 90.00
_cell_angle_gamma 90.00
loop_
_atom_site_label
_atom_site_fract_x
_atom_site_fract_y
_atom_site_fract_z
Tc1 0.0000 0.0000 0.0000
Bi1 0.5000 0.5000 0.5000
P1 0.0000 0.0000 0.5000
Cl1 0.0000 0.5000 0.0000
```

Results
* E_tot: -22.2 eV/f.u.
* raw formation energy: 0.238 eV/atom
* calculated volume: 22.2 Å³ per atom


Entry 3:
Here is a relaxed Ga3SiF crystal from Alexandria. Energies are from PBE-GGA.

Geometry as CIF:
```
data_Ga3SiF
_space_group_name_H-M_alt 'P m -3 m'
_space_group_IT_number 221
_space_group_name_Hall '-P 4 2 3'
_cell_length_a 4.8647
_cell_length_b 4.8647
_cell_length_c 4.8647
_cell_angle_alpha 90.00
_cell_angle_beta 90.00
_cell_angle_gamma 90.00
loop_
_atom_site_label
_atom_site_fract_x
_atom_site_fract_y
_atom_site_fract_z
Ga1 0.0000 0.0000 0.5000
Si1 0.0000 0.0000 0.0000
F1 0.5000 0.5000 0.5000
```

Results
* E_tot: -16.3 eV/f.u.
* raw formation energy: 0.011 eV/atom
* calculated volume: 23.0 Å³ per atom


Entry 4:
Here is a relaxed UTa2S6 crystal from Alexandria. Energies are from PBE-GGA.

Geometry as CIF:
```
data_UTa2S6
_space_group_name_H-M_alt 'C 1 2/m 1'
_space_group_IT_number 12
_cell_length_a 12.4277
_cell_length_b 4.5331
_cell_length_c 8.9311
_cell_angle_alpha 90.00
_cell_angle_beta 123.58
_cell_angle_gamma 90.00
loop_
_space_group_symop_operation_xyz
'x,y,z'
'-x,-y,-z'
'-x,y,-z'
'x,-y,z'
'x+1/2,y+1/2,z'
'-x+1/2,-y+1/2,-z'
'-x+1/2,y+1/2,-z'
'x+1/2,-y+1/2,z'
loop_
_atom_site_label
_atom_site_fract_x
_atom_site_fract_y
_atom_site_fract_z
U1 0.0000 0.0000 0.0000
Ta1 0.1427 0.0000 0.5717
S1 0.0456 0.0000 0.7342
S2 0.1460 0.5000 0.1173
S3 0.2109 0.5000 0.5662
```

Results
* E_tot: -68.1 eV/f.u.
* raw formation energy: -0.929 eV/atom
* calculated volume: 23.3 Å³ per atom